1.
Here is a geometry-optimized LiSmPuIn structure from Alexandria via LeMat-Bulk. Energies are from PBE.

The uncorrected energy comes out at -5.956 eV/atom. The calculation puts the energy of formation at -30 meV per atom. Its space-group type is F-43m. The calculation puts the total moment at 6.41 Bohr magnetons per cell.

Structure (CIF):
```
data_LiSmPuIn
_symmetry_space_group_name_H-M 'P 1'
_symmetry_Int_Tables_number 1
_cell_length_a 5.345
_cell_length_b 5.345
_cell_length_c 5.345
_cell_angle_alpha 60.00
_cell_angle_beta 60.00
_cell_angle_gamma 60.00
loop_
_symmetry_equiv_pos_as_xyz
'x,y,z'
loop_
_atom_site_label
_atom_site_type_symbol
_atom_site_fract_x
_atom_site_fract_y
_atom_site_fract_z
In1 In 0.500 0.500 0.500
Li1 Li 0.000 0.000 0.000
Sm1 Sm 0.250 0.250 0.250
Pu1 Pu 0.750 0.750 0.750
```

2.
Here is a geometry-optimized In2Hg4Pb3 structure from Alexandria via LeMat-Bulk. Energies are from PBE.

The uncorrected energy comes out at -1.936 eV/atom. The calculation puts the energy of formation at 43 meV per atom. Its space-group type is C2/c. The calculation puts the total moment at 0.00 Bohr magnetons per cell.

Structure (CIF):
```
data_In2Hg4Pb3
_symmetry_space_group_name_H-M 'P 1'
_symmetry_Int_Tables_number 1
_cell_length_a 6.050
_cell_length_b 9.744
_cell_length_c 9.744
_cell_angle_alpha 75.58
_cell_angle_beta 73.09
_cell_angle_gamma 73.09
loop_
_symmetry_equiv_pos_as_xyz
'x,y,z'
loop_
_atom_site_label
_atom_site_type_symbol
_atom_site_fract_x
_atom_site_fract_y
_atom_site_fract_z
In1 In 0.425 0.742 0.627
In2 In 0.075 0.373 0.258
In3 In 0.575 0.258 0.373
In4 In 0.925 0.627 0.742
Hg1 Hg 0.504 0.141 0.710
Hg2 Hg 0.996 0.290 0.859
Hg3 Hg 0.496 0.859 0.290
Hg4 Hg 0.004 0.710 0.141
Hg5 Hg 0.825 0.907 0.507
Hg6 Hg 0.675 0.493 0.093
Hg7 Hg 0.175 0.093 0.493
Hg8 Hg 0.325 0.507 0.907
Pb1 Pb 0.008 0.955 0.830
Pb2 Pb 0.492 0.170 0.045
Pb3 Pb 0.992 0.045 0.170
Pb4 Pb 0.508 0.830 0.955
Pb5 Pb 0.250 0.586 0.414
Pb6 Pb 0.750 0.414 0.586
```

3.
Here is a geometry-optimized ErHf2Ru3 structure from Alexandria via LeMat-Bulk. Energies are from PBE.

The uncorrected energy comes out at -9.430 eV/atom. The calculation puts the energy of formation at -713 meV per atom. Its space-group type is P4/mmm. The calculation puts the total moment at 0.00 Bohr magnetons per cell.

Structure (CIF):
```
data_ErHf2Ru3
_symmetry_space_group_name_H-M 'P 1'
_symmetry_Int_Tables_number 1
_cell_length_a 3.274
_cell_length_b 3.274
_cell_length_c 9.913
_cell_angle_alpha 90.00
_cell_angle_beta 90.00
_cell_angle_gamma 90.00
loop_
_symmetry_equiv_pos_as_xyz
'x,y,z'
loop_
_atom_site_label
_atom_site_type_symbol
_atom_site_fract_x
_atom_site_fract_y
_atom_site_fract_z
Er1 Er 0.500 0.500 0.500
Hf1 Hf 0.500 0.500 0.835
Hf2 Hf 0.500 0.500 0.165
Ru1 Ru 0.000 0.000 0.000
Ru2 Ru 0.000 0.000 0.682
Ru3 Ru 0.000 0.000 0.318
```